Crystalline Mg2MnOsO8 at its relaxed geometry, computed with PBE with a Hubbard U.

Results
VASP energy (Ry/atom): -0.4864

a = 4.6980 Å, b = 4.6858 Å, c = 6.0082 Å
α = 90.00°, β = 90.00°, γ = 92.91°
Site moments in Bohr magnetons follow the coordinates.
Fractional coordinates of all 12 atoms:
Mn1 0.0000 0.0000 0.5000  3.12
Mg1 0.5000 0.5000 0.2560  0.01
O1 0.2874 0.2856 0.0000  -0.01
Os1 0.0000 0.0000 0.0000  0.38
O2 0.1827 0.8151 0.7581  -0.05
O3 0.1827 0.8151 0.2419  -0.05
O4 0.7146 0.7167 0.5000  -0.23
O5 0.2854 0.2833 0.5000  -0.23
O6 0.8173 0.1849 0.7581  -0.05
O7 0.7126 0.7144 0.0000  -0.01
Mg2 0.5000 0.5000 0.7440  0.01
O8 0.8173 0.1849 0.2419  -0.05